No. 1
The following is a PBE calculation of a relaxed structure of Tb8Co2Ru, from Alexandria.

Structure (CIF):
```
data_Tb8Co2Ru
_cell_length_a 4.9587
_cell_length_b 6.6757
_cell_length_c 8.9138
_cell_angle_alpha 105.90
_cell_angle_beta 106.15
_cell_angle_gamma 90.00
_symmetry_space_group_name_H-M 'P 1'
_symmetry_Int_Tables_number 1
loop_
_symmetry_equiv_pos_as_xyz
'x,y,z'
loop_
_atom_site_label
_atom_site_type_symbol
_atom_site_fract_x
_atom_site_fract_y
_atom_site_fract_z
Tb1 Tb 0.4061 0.5497 0.8121
Tb2 Tb 0.6719 0.9731 0.3439
Tb3 Tb 0.7994 0.6775 0.5988
Tb4 Tb 0.9637 0.2066 0.9274
Tb5 Tb 0.2006 0.3225 0.4012
Tb6 Tb 0.3281 0.0269 0.6561
Tb7 Tb 0.5939 0.4503 0.1879
Tb8 Tb 0.0363 0.7934 0.0726
Co1 Co 0.8100 0.2940 0.6199
Co2 Co 0.1900 0.7060 0.3801
Ru1 Ru 0.5000 0.0000 0.0000
```

Energy above the lowest structure with this stoichiometry, eV per atom: 0.000
Calculated formation energy, eV/atom: -0.142
Space-group type: C2/m, No. 12
E, eV per formula unit: -62.1

No. 2
The following is a PBE calculation of a relaxed structure of TbCoRu, from Alexandria.

Structure (CIF):
```
data_TbCoRu
_cell_length_a 5.2298
_cell_length_b 5.2298
_cell_length_c 5.2298
_cell_angle_alpha 89.01
_cell_angle_beta 120.63
_cell_angle_gamma 120.51
_symmetry_space_group_name_H-M 'P 1'
_symmetry_Int_Tables_number 1
loop_
_symmetry_equiv_pos_as_xyz
'x,y,z'
loop_
_atom_site_label
_atom_site_type_symbol
_atom_site_fract_x
_atom_site_fract_y
_atom_site_fract_z
Tb1 Tb 0.2500 0.1238 0.8738
Tb2 Tb 0.7500 0.8762 0.1262
Co1 Co 0.5000 0.5000 0.5000
Co2 Co 0.0000 0.5000 0.0000
Ru1 Ru 0.0000 0.5000 0.5000
Ru2 Ru 0.5000 0.0000 0.5000
```

Energy above the lowest structure with this stoichiometry, eV per atom: 0.000
Calculated formation energy, eV/atom: -0.243
Space-group type: Imma, No. 74
E, eV per formula unit: -21.7

No. 3
The following is a PBE calculation of a relaxed structure of Tb4Co2Ru, from Alexandria.

Structure (CIF):
```
data_Tb4Co2Ru
_cell_length_a 4.2103
_cell_length_b 5.8237
_cell_length_c 7.1253
_cell_angle_alpha 80.98
_cell_angle_beta 72.82
_cell_angle_gamma 68.81
_symmetry_space_group_name_H-M 'P 1'
_symmetry_Int_Tables_number 1
loop_
_symmetry_equiv_pos_as_xyz
'x,y,z'
loop_
_atom_site_label
_atom_site_type_symbol
_atom_site_fract_x
_atom_site_fract_y
_atom_site_fract_z
Co1 Co 0.3709 0.6289 0.6293
Co2 Co 0.6291 0.3711 0.3707
Tb1 Tb 0.0869 0.2026 0.6237
Tb2 Tb 0.9131 0.7974 0.3763
Tb3 Tb 0.3055 0.2908 0.0983
Tb4 Tb 0.6945 0.7092 0.9017
Ru1 Ru 0.0000 0.0000 0.0000
```

Calculated formation energy, eV/atom: -0.187
Space-group type: C2/m, No. 12
E, eV per formula unit: -43.3

Number 1: size of the total moment 0.0 Bohr magnetons per cell, volume 271.6 Å³ per cell. Number 2: size of the total moment 1.7 Bohr magnetons per cell, volume 100.3 Å³ per cell. Number 3: size of the total moment 0.0 Bohr magnetons per cell, volume 155.4 Å³ per cell.